The following is a DFT calculation (PBE) of a relaxed structure of Y2Co17.

Unit cell a=8.2959 b=8.2959 c=8.0831 alpha=90.00 beta=90.00 gamma=120.00
Space group P6_3/mmc (No. 194)
Unique sites:
Y  0.0000  0.0000  0.2500 x2
Y  0.3333  0.6667  0.2500 x2
Co  0.0000  0.5000  0.0000 x6
Co  0.0475  0.3761  0.7500 x12
Co  0.1668  0.3336  0.0218 x12
Co  0.3333  0.6667  0.6068 x4

Computed properties:
energy above the lowest structure with this stoichiometry	0.07	eV/f.u.
ΔE_f	-1.799	eV per formula unit
ρ	8.13	g cm⁻³
total magnetization	1.3248	μB/atom
electronic total energy	-7.133	eV per atom